(1)
A plane-wave DFT calculation with PBE-GGA was carried out for a relaxed structure of Na2HPtPb.

- Symmetry: P4/mmm
- Excess energy over the best structure of this formula in the dataset: 82 meV per atom
- Magnetization: 0.00 μB/f.u.

Structure (extended XYZ):
```
5
Lattice="4.303 0.000 0.000 0.000 4.303 0.000 0.000 0.000 4.947" Properties=species:S:1:pos:R:3 pbc="T T T"
Na 0.000 2.152 0.000
Na 2.152 0.000 0.000
H 0.000 0.000 0.000
Pt 2.152 2.152 2.473
Pb 0.000 0.000 2.473
```


(2)
A plane-wave DFT calculation with PBE-GGA was carried out for a relaxed structure of LaThBi.

- Symmetry: I4mm
- Energy relative to the elements: -388 meV per atom
- Excess energy over the best structure of this formula in the dataset: 0 meV per atom
- Magnetization: 0.00 μB/f.u.

Structure (extended XYZ):
```
3
Lattice="-2.120 2.120 5.509 2.120 -2.120 5.509 2.120 2.120 -5.509" Properties=species:S:1:pos:R:3 pbc="T T T"
La 0.000 0.000 0.000
Th 0.000 0.000 7.703
Bi 0.000 0.000 3.792
```


(3)
A plane-wave DFT calculation with PBE-GGA was carried out for a relaxed structure of MgScCu2.

- Symmetry: Cm
- Energy relative to the elements: -107 meV per atom
- Magnetization: 0.00 μB/f.u.

Structure (extended XYZ):
```
4
Lattice="4.809 -1.547 0.000 4.809 1.547 0.000 -1.369 0.000 4.484" Properties=species:S:1:pos:R:3 pbc="T T T"
Mg 0.000 0.000 0.000
Sc 7.061 0.000 1.571
Cu 1.274 0.000 3.695
Cu 4.438 0.000 2.417
```


(4)
A plane-wave DFT calculation with PBE-GGA was carried out for a relaxed structure of ErTmIrPd.

- Symmetry: F-43m
- Energy relative to the elements: -969 meV per atom
- Magnetization: 0.00 μB/f.u.

Structure (extended XYZ):
```
4
Lattice="0.000 3.424 3.424 3.424 0.000 3.424 3.424 3.424 0.000" Properties=species:S:1:pos:R:3 pbc="T T T"
Er 0.000 0.000 0.000
Tm 3.424 3.424 3.424
Ir 1.712 1.712 1.712
Pd 5.135 5.135 5.135
```


magnetization of number 4 (ErTmIrPd)? 0.00 μB/f.u.


Look up the magnetization of the first one. 0.00 μB/f.u.


What is the magnetization in the third record? 0.00 μB/f.u.


Which value of magnetization does entry 4 give? 0.00 μB/f.u.